No. 1
First-principles (PBE) data for a relaxed structure of Y4Ho5Th, as listed in Alexandria via LeMat-Bulk.

The value obtained for the calculated formation energy is 17.5 kJ per mole of atoms.

The structure belongs to space group C2/m (No. 12); the cell edges are 17.067, 3.551 and 10.994 Å and the angles 90.00°, 90.59° and 90.00°. The asymmetric unit holds Y at (0.026, 0.000, 0.249), Y at (0.153, 0.500, 0.746), Ho at (0.000, 0.500, 0.000), Ho at (0.172, 0.000, 0.450), Ho at (0.173, 0.000, 0.047) and Th at (0.000, 0.500, 0.500).


No. 2
First-principles (PBE) data for a relaxed structure of Rb2ScI7, as listed in Alexandria via LeMat-Bulk.

The formation energy (no corrections) is -960 meV/atom.

The structure belongs to space group I4/mmm (No. 139); the cell edges are 9.454, 9.454 and 11.852 Å and the angles 90.00°, 90.00° and 90.00°. The asymmetric unit holds Rb at (0.000, 0.500, 0.250), Sc at (0.000, 0.000, 0.000), I at (0.000, 0.000, 0.256), I at (0.000, 0.000, 0.500) and I at (0.212, 0.212, 0.000).


No. 3
First-principles (PBE) data for a relaxed structure of BaPrHgBi, as listed in Alexandria via LeMat-Bulk.

The value obtained for the calculated formation energy is -53.5 kJ per mole of atoms.

The structure belongs to space group F-43m (No. 216); the cell edges are 8.175, 8.175 and 8.175 Å and the angles 90.00°, 90.00° and 90.00°. The asymmetric unit holds Ba at (0.000, 0.000, 0.000), Pr at (0.000, 0.000, 0.500), Hg at (0.250, 0.250, 0.750) and Bi at (0.250, 0.250, 0.250).


No. 4
First-principles (PBE) data for a relaxed structure of HgW, as listed in Alexandria via LeMat-Bulk.

The value obtained for the calculated formation energy is 86.6 kJ per mole of atoms.

The structure belongs to space group C2 (No. 5); the cell edges are 8.780, 5.277 and 5.392 Å and the angles 90.00°, 116.85° and 90.00°. The asymmetric unit holds Hg at (0.000, 0.000, 0.000), Hg at (0.171, 0.280, 0.514), W at (0.000, 0.752, 0.500) and W at (0.147, 0.507, 0.980).


No. 5
First-principles (PBE) data for a relaxed structure of CsYCuF6, as listed in Alexandria via LeMat-Bulk.

The formation energy (no corrections) is -2927 meV/atom.

The structure belongs to space group Imma (No. 74); the cell edges are 7.471, 7.924 and 10.247 Å and the angles 90.00°, 90.00° and 90.00°. The asymmetric unit holds Cs at (0.000, 0.250, 0.161), Y at (0.250, 0.250, 0.750), Cu at (0.000, 0.000, 0.500), F at (0.000, 0.250, 0.615), F at (0.000, 0.250, 0.871) and F at (0.192, 0.002, 0.369).


No. 6
First-principles (PBE) data for a relaxed structure of NaPaAg2I8, as listed in Alexandria via LeMat-Bulk.

The formation energy (no corrections) is -630 meV/atom.

The structure belongs to space group I-4m2 (No. 119); the cell edges are 10.143, 10.143 and 9.899 Å and the angles 90.00°, 90.00° and 90.00°. The asymmetric unit holds Na at (0.000, 0.000, 0.000), Pa at (0.000, 0.500, 0.750), Ag at (0.000, 0.000, 0.500), Ag at (0.000, 0.500, 0.250), I at (0.000, 0.209, 0.685) and I at (0.000, 0.319, 0.027).


No. 7
First-principles (PBE) data for a relaxed structure of Tl2ZnOsN, as listed in Alexandria via LeMat-Bulk.

The formation energy (no corrections) is 678 meV/atom.

The structure belongs to space group P4/mmm (No. 123); the cell edges are 5.562, 5.562 and 3.716 Å and the angles 90.00°, 90.00° and 90.00°. The asymmetric unit holds Tl at (0.000, 0.500, 0.000), Zn at (0.000, 0.000, 0.500), Os at (0.500, 0.500, 0.500) and N at (0.500, 0.500, 0.000).


No. 8
First-principles (PBE) data for a relaxed structure of Sr2TbSmS4, as listed in Alexandria via LeMat-Bulk.

The formation energy (no corrections) is -2046 meV/atom.

The structure belongs to space group P2/m (No. 10); the cell edges are 7.048, 4.073 and 7.216 Å and the angles 90.00°, 109.02° and 90.00°. The asymmetric unit holds Sr at (0.000, 0.000, 0.000), Sr at (0.500, 0.500, 0.000), Tb at (0.000, 0.500, 0.500), Sm at (0.500, 0.000, 0.500), S at (0.241, 0.000, 0.732) and S at (0.251, 0.500, 0.265).


No. 9
First-principles (PBE) data for a relaxed structure of ScFeBr2, as listed in Alexandria via LeMat-Bulk.

The formation energy (no corrections) is -515 meV/atom.

The structure belongs to space group Immm (No. 71); the cell edges are 3.739, 3.957 and 14.375 Å and the angles 90.00°, 90.00° and 90.00°. The asymmetric unit holds Sc at (0.000, 0.000, 0.000), Fe at (0.000, 0.000, 0.500) and Br at (0.000, 0.500, 0.130).


No. 10
First-principles (PBE) data for a relaxed structure of TaTcIr2W, as listed in Alexandria via LeMat-Bulk.

The value obtained for the calculated formation energy is 168.8 kJ per mole of atoms.

The structure belongs to space group P4/mmm (No. 123); the cell edges are 4.637, 4.637 and 4.648 Å and the angles 90.00°, 90.00° and 90.00°. The asymmetric unit holds Ta at (0.000, 0.000, 0.000), Tc at (0.500, 0.500, 0.500), Ir at (0.000, 0.500, 0.500) and W at (0.500, 0.500, 0.000).


No. 11
First-principles (PBE) data for a relaxed structure of Ca3PmPr2Se6, as listed in Alexandria via LeMat-Bulk.

The formation energy (no corrections) is -1907 meV/atom.

The structure belongs to space group C2/m (No. 12); the cell edges are 7.263, 12.569 and 7.408 Å and the angles 90.00°, 109.10° and 90.00°. The asymmetric unit holds Ca at (0.000, 0.000, 0.000), Ca at (0.000, 0.332, 0.000), Pm at (0.000, 0.500, 0.500), Pr at (0.000, 0.166, 0.500), Se at (0.244, 0.500, 0.242) and Se at (0.249, 0.165, 0.243).


No. 12
First-principles (PBE) data for a relaxed structure of LiV3B, as listed in Alexandria via LeMat-Bulk.

The value obtained for the calculated formation energy is 28.5 kJ per mole of atoms.

The structure belongs to space group Pm-3m (No. 221); the cell edges are 4.070, 4.070 and 4.070 Å and the angles 90.00°, 90.00° and 90.00°. The asymmetric unit holds Li at (0.000, 0.000, 0.000), V at (0.000, 0.500, 0.500) and B at (0.500, 0.500, 0.500).


No. 13
First-principles (PBE) data for a relaxed structure of KFeRe2, as listed in Alexandria via LeMat-Bulk.

The value obtained for the calculated formation energy is 165.7 kJ per mole of atoms.

The structure belongs to space group I4/mmm (No. 139); the cell edges are 3.749, 3.749 and 9.989 Å and the angles 90.00°, 90.00° and 90.00°. The asymmetric unit holds K at (0.000, 0.000, 0.000), Fe at (0.000, 0.000, 0.500) and Re at (0.000, 0.500, 0.250).


No. 14
First-principles (PBE) data for a relaxed structure of Pm3Pr6Dy2Y, as listed in Alexandria via LeMat-Bulk.

The value obtained for the calculated formation energy is 1.1 kJ per mole of atoms.

The structure belongs to space group C2/m (No. 12); the cell edges are 6.357, 11.016 and 12.044 Å and the angles 90.00°, 100.14° and 90.00°. The asymmetric unit holds Pm at (0.000, 0.000, 0.000), Pm at (0.000, 0.333, 0.000), Pr at (0.249, 0.000, 0.747), Pr at (0.250, 0.167, 0.253), Dy at (0.000, 0.167, 0.500) and Y at (0.000, 0.500, 0.500).


No. 15
First-principles (PBE) data for a relaxed structure of Ac2La3Nd5, as listed in Alexandria via LeMat-Bulk.

The value obtained for the calculated formation energy is 16.4 kJ per mole of atoms.

The structure belongs to space group C2/c (No. 15); the cell edges are 11.267, 14.547 and 10.799 Å and the angles 90.00°, 121.15° and 90.00°. The asymmetric unit holds Ac at (0.152, 0.124, 0.052), La at (0.000, 0.276, 0.750), La at (0.154, 0.375, 0.556), Nd at (0.000, 0.023, 0.250), Nd at (0.000, 0.240, 0.250), Nd at (0.000, 0.493, 0.750) and Nd at (0.245, 0.124, 0.744).


No. 16
First-principles (PBE) data for a relaxed structure of Pa3Ru2Pt2, as listed in Alexandria via LeMat-Bulk.

The value obtained for the calculated formation energy is -70.9 kJ per mole of atoms.

The structure belongs to space group I2_13 (No. 199); the cell edges are 8.337, 8.337 and 8.337 Å and the angles 90.00°, 90.00° and 90.00°. The asymmetric unit holds Pa at (0.000, 0.250, 0.893), Ru at (0.176, 0.176, 0.176) and Pt at (0.090, 0.410, 0.590).


No. 17
First-principles (PBE) data for a relaxed structure of Th3TlFe, as listed in Alexandria via LeMat-Bulk.

The value obtained for the calculated formation energy is -12.0 kJ per mole of atoms.

The structure belongs to space group Pnma (No. 62); the cell edges are 8.405, 4.537 and 14.767 Å and the angles 90.00°, 90.00° and 90.00°. The asymmetric unit holds Th at (0.035, 0.250, 0.101), Th at (0.150, 0.250, 0.502), Th at (0.205, 0.750, 0.294), Tl at (0.084, 0.750, 0.679) and Fe at (0.171, 0.250, 0.941).


No. 18
First-principles (PBE) data for a relaxed structure of Mn2NiP, as listed in Alexandria via LeMat-Bulk.

The value obtained for the calculated formation energy is -11.0 kJ per mole of atoms.

The structure belongs to space group P4mm (No. 99); the cell edges are 2.766, 2.766 and 6.051 Å and the angles 90.00°, 90.00° and 90.00°. The asymmetric unit holds Mn at (0.000, 0.000, 0.000), Mn at (0.500, 0.500, 0.275), Ni at (0.000, 0.000, 0.567) and P at (0.500, 0.500, 0.795).


No. 19
First-principles (PBE) data for a relaxed structure of CaSmGe, as listed in Alexandria via LeMat-Bulk.

The value obtained for the calculated formation energy is -51.4 kJ per mole of atoms.

The structure belongs to space group F-43m (No. 216); the cell edges are 7.104, 7.104 and 7.104 Å and the angles 90.00°, 90.00° and 90.00°. The asymmetric unit holds Ca at (0.000, 0.000, 0.000), Sm at (0.000, 0.000, 0.500) and Ge at (0.250, 0.250, 0.250).


No. 20
First-principles (PBE) data for a relaxed structure of CaCdAu5, as listed in Alexandria via LeMat-Bulk.

The value obtained for the calculated formation energy is -36.9 kJ per mole of atoms.

The structure belongs to space group Pnma (No. 62); the cell edges are 8.966, 5.749 and 11.438 Å and the angles 90.00°, 90.00° and 90.00°. The asymmetric unit holds Ca at (0.244, 0.250, 0.054), Cd at (0.146, 0.750, 0.850), Au at (0.058, 0.012, 0.309), Au at (0.070, 0.750, 0.084), Au at (0.114, 0.250, 0.523) and Au at (0.187, 0.250, 0.773).


No. 21
First-principles (PBE) data for a relaxed structure of Ti4Si3O24, as listed in Alexandria via LeMat-Bulk.

The formation energy (no corrections) is -1119 meV/atom.

The structure belongs to space group P-43m (No. 215); the cell edges are 7.900, 7.900 and 7.900 Å and the angles 90.00°, 90.00° and 90.00°. The asymmetric unit holds Ti at (0.154, 0.154, 0.154), Si at (0.000, 0.000, 0.500), O at (0.000, 0.500, 0.500), O at (0.104, 0.104, 0.896), O at (0.121, 0.121, 0.383), O at (0.339, 0.339, 0.661) and O at (0.500, 0.500, 0.500).